The following is a DFT calculation (PBE) of crystalline Sr2TlIn4Ag3 at its relaxed geometry.

Calculated values
E	-2.780	eV per atom
E_form	-256	meV per atom
mass density	7.1	g cm⁻³

```
data_Sr2TlIn4Ag3
_chemical_formula_sum 'Sr2 Tl1 In4 Ag3'
_space_group_name_H-M_alt 'P -4 m 2'
_space_group_IT_number 115
_cell_length_a 4.6913
_cell_length_b 4.6913
_cell_length_c 12.2744
_cell_angle_alpha 90.00
_cell_angle_beta 90.00
_cell_angle_gamma 90.00
loop_
_space_group_symop_operation_xyz
'x,y,z'
'y,-x,-z'
'-x,-y,z'
'-y,x,-z'
'-x,y,z'
'-y,-x,-z'
'x,-y,z'
'y,x,-z'
loop_
_atom_site_label
_atom_site_type_symbol
_atom_site_fract_x
_atom_site_fract_y
_atom_site_fract_z
_atom_site_occupancy
Sr1 Sr 0.0000 0.5000 0.2417 1
Tl1 Tl 0.0000 0.0000 0.5000 1
In1 In 0.0000 0.0000 0.0000 1
In2 In 0.0000 0.5000 0.6443 1
In3 In 0.5000 0.5000 0.0000 1
Ag1 Ag 0.0000 0.5000 0.8665 1
Ag2 Ag 0.5000 0.5000 0.5000 1
```

=====

The following is a DFT calculation (PBE) of crystalline SrTlInAg2 at its relaxed geometry.

Calculated values
E	-2.690	eV per atom
E_form	-192	meV per atom
mass density	7.8	g cm⁻³

```
data_SrTlInAg2
_chemical_formula_sum 'Sr2 Tl2 In2 Ag4'
_space_group_name_H-M_alt 'I m m 2'
_space_group_IT_number 44
_cell_length_a 4.4338
_cell_length_b 4.5227
_cell_length_c 13.2660
_cell_angle_alpha 90.00
_cell_angle_beta 90.00
_cell_angle_gamma 90.00
loop_
_space_group_symop_operation_xyz
'x,y,z'
'-x,-y,z'
'-x,y,z'
'x,-y,z'
'x+1/2,y+1/2,z+1/2'
'-x+1/2,-y+1/2,z+1/2'
'-x+1/2,y+1/2,z+1/2'
'x+1/2,-y+1/2,z+1/2'
loop_
_atom_site_label
_atom_site_type_symbol
_atom_site_fract_x
_atom_site_fract_y
_atom_site_fract_z
_atom_site_occupancy
Sr1 Sr 0.0000 0.0000 0.0000 1
Tl1 Tl 0.0000 0.0000 0.3826 1
In1 In 0.0000 0.5000 0.7248 1
Ag1 Ag 0.0000 0.0000 0.5967 1
Ag2 Ag 0.0000 0.5000 0.2367 1
```

=====

The following is a DFT calculation (PBE) of crystalline SrTmInAg at its relaxed geometry.

Calculated values
E	-3.221	eV per atom
E_form	-285	meV per atom
mass density	7.1	g cm⁻³

```
data_SrTmInAg
_chemical_formula_sum 'Sr4 Tm4 In4 Ag4'
_space_group_name_H-M_alt 'F -4 3 m'
_space_group_IT_number 216
_space_group_name_Hall 'F -4 2 3'
_cell_length_a 7.6395
_cell_length_b 7.6395
_cell_length_c 7.6395
_cell_angle_alpha 90.00
_cell_angle_beta 90.00
_cell_angle_gamma 90.00
loop_
_atom_site_label
_atom_site_type_symbol
_atom_site_fract_x
_atom_site_fract_y
_atom_site_fract_z
_atom_site_occupancy
Sr1 Sr 0.0000 0.0000 0.0000 1
Tm1 Tm 0.0000 0.0000 0.5000 1
In1 In 0.2500 0.2500 0.2500 1
Ag1 Ag 0.2500 0.2500 0.7500 1
```

=====

The following is a DFT calculation (PBE) of crystalline SrInAgW2 at its relaxed geometry.

Calculated values
E	-4.740	eV per atom
E_form	1896	meV per atom
mass density	8.3	g cm⁻³

```
data_SrInAgW2
_chemical_formula_sum 'Sr1 In1 Ag1 W2'
_space_group_name_H-M_alt 'P 4/m m m'
_space_group_IT_number 123
_space_group_name_Hall '-P 4 2'
_cell_length_a 5.1123
_cell_length_b 5.1123
_cell_length_c 5.1670
_cell_angle_alpha 90.00
_cell_angle_beta 90.00
_cell_angle_gamma 90.00
loop_
_atom_site_label
_atom_site_type_symbol
_atom_site_fract_x
_atom_site_fract_y
_atom_site_fract_z
_atom_site_occupancy
Sr1 Sr 0.0000 0.0000 0.0000 1
In1 In 0.5000 0.5000 0.5000 1
Ag1 Ag 0.5000 0.5000 0.0000 1
W1 W 0.0000 0.5000 0.5000 1
```

=====

The following is a DFT calculation (PBE) of crystalline SrYInAg at its relaxed geometry.

Calculated values
E	-3.752	eV per atom
E_form	-318	meV per atom
mass density	5.8	g cm⁻³

```
data_SrYInAg
_chemical_formula_sum 'Sr4 Y4 In4 Ag4'
_space_group_name_H-M_alt 'F -4 3 m'
_space_group_IT_number 216
_space_group_name_Hall 'F -4 2 3'
_cell_length_a 7.6927
_cell_length_b 7.6927
_cell_length_c 7.6927
_cell_angle_alpha 90.00
_cell_angle_beta 90.00
_cell_angle_gamma 90.00
loop_
_atom_site_label
_atom_site_type_symbol
_atom_site_fract_x
_atom_site_fract_y
_atom_site_fract_z
_atom_site_occupancy
Sr1 Sr 0.0000 0.0000 0.0000 1
Y1 Y 0.0000 0.0000 0.5000 1
In1 In 0.2500 0.2500 0.2500 1
Ag1 Ag 0.2500 0.2500 0.7500 1
```

=====

The following is a DFT calculation (PBE) of crystalline Sr2ZnInAg6 at its relaxed geometry.

Calculated values
E	-2.599	eV per atom
E_form	-151	meV per atom
mass density	6.6	g cm⁻³

```
data_Sr2ZnInAg6
_chemical_formula_sum 'Sr2 Zn1 In1 Ag6'
_space_group_name_H-M_alt 'P -1'
_space_group_IT_number 2
_cell_length_a 5.7595
_cell_length_b 7.1382
_cell_length_c 7.3349
_cell_angle_alpha 83.05
_cell_angle_beta 66.91
_cell_angle_gamma 66.24
loop_
_space_group_symop_operation_xyz
'x,y,z'
'-x,-y,-z'
loop_
_atom_site_label
_atom_site_type_symbol
_atom_site_fract_x
_atom_site_fract_y
_atom_site_fract_z
_atom_site_occupancy
Sr1 Sr 0.0395 0.2146 0.2070 1
Zn1 Zn 0.5000 0.0000 0.5000 1
In1 In 0.5000 0.5000 0.0000 1
Ag1 Ag 0.0106 0.2479 0.7335 1
Ag2 Ag 0.3413 0.4069 0.4124 1
Ag3 Ag 0.4927 0.7527 0.2655 1
```

=====

The following is a DFT calculation (PBE) of crystalline Sr3Zn2InAg9 at its relaxed geometry.

Calculated values
E	-2.452	eV per atom
E_form	-52	meV per atom
mass density	6.2	g cm⁻³

```
data_Sr3Zn2InAg9
_chemical_formula_sum 'Sr3 Zn2 In1 Ag9'
_space_group_name_H-M_alt 'P -3 m 1'
_space_group_IT_number 164
_space_group_name_Hall '-P 3 2"'
_cell_length_a 7.0998
_cell_length_b 7.0998
_cell_length_c 9.0358
_cell_angle_alpha 90.00
_cell_angle_beta 90.00
_cell_angle_gamma 120.00
loop_
_atom_site_label
_atom_site_type_symbol
_atom_site_fract_x
_atom_site_fract_y
_atom_site_fract_z
_atom_site_occupancy
Sr1 Sr 0.0000 0.0000 0.0000 1
Sr2 Sr 0.3333 0.6667 0.7079 1
Zn1 Zn 0.3333 0.6667 0.1649 1
In1 In 0.0000 0.0000 0.5000 1
Ag1 Ag 0.0000 0.5000 0.0000 1
Ag2 Ag 0.1997 0.3994 0.3856 1
```

=====

The following is a DFT calculation (PBE) of crystalline SrZnIn2Ag2 at its relaxed geometry.

Calculated values
E	-2.461	eV per atom
E_form	-105	meV per atom
mass density	6.5	g cm⁻³

```
data_SrZnIn2Ag2
_chemical_formula_sum 'Sr1 Zn1 In2 Ag2'
_space_group_name_H-M_alt 'P 4/m m m'
_space_group_IT_number 123
_space_group_name_Hall '-P 4 2'
_cell_length_a 4.9487
_cell_length_b 4.9487
_cell_length_c 6.2324
_cell_angle_alpha 90.00
_cell_angle_beta 90.00
_cell_angle_gamma 90.00
loop_
_atom_site_label
_atom_site_type_symbol
_atom_site_fract_x
_atom_site_fract_y
_atom_site_fract_z
_atom_site_occupancy
Sr1 Sr 0.0000 0.0000 0.0000 1
Zn1 Zn 0.0000 0.0000 0.5000 1
In1 In 0.5000 0.5000 0.2371 1
Ag1 Ag 0.0000 0.5000 0.5000 1
```